Below is crystalline TcPN2O at its relaxed geometry, with properties calculated at the PBE-GGA level.

Unit cell a=3.977 b=3.977 c=3.737 alpha=90.00 beta=90.00 gamma=90.00
Fractional positions:
P 0.500 0.500 0.500
N 0.500 0.000 0.000
N 0.000 0.500 0.000
O 0.000 0.000 0.500
Tc 0.000 0.000 0.000

Results
- Crystal system: tetragonal
- Formation energy without anion corrections: 791 meV per atom


Below is crystalline Sr3ZnCd at its relaxed geometry, with properties calculated at the PBE-GGA level.

Unit cell a=6.077 b=6.077 c=6.077 alpha=90.00 beta=90.00 gamma=90.00
Fractional positions:
Sr 0.500 0.000 0.000
Sr 0.000 0.000 0.500
Sr 0.000 0.500 0.000
Zn 0.000 0.000 0.000
Cd 0.500 0.500 0.500

Results
- Crystal system: cubic
- E above lowest polymorph: 247 meV/atom
- DFT formation energy: 0.037 eV/atom


Below is crystalline ZrGe2Rh4 at its relaxed geometry, with properties calculated at the PBE-GGA level.

Unit cell a=3.948 b=6.597 c=16.825 alpha=90.00 beta=90.00 gamma=90.00
Fractional positions:
Rh 0.750 0.185 0.812
Rh 0.750 0.023 0.080
Rh 0.750 0.315 0.312
Rh 0.250 0.141 0.532
Rh 0.250 0.685 0.688
Rh 0.750 0.477 0.580
Rh 0.750 0.731 0.315
Rh 0.250 0.269 0.685
Rh 0.250 0.977 0.920
Rh 0.250 0.523 0.420
Rh 0.750 0.641 0.968
Rh 0.250 0.815 0.188
Rh 0.250 0.231 0.185
Rh 0.750 0.859 0.468
Rh 0.750 0.769 0.815
Rh 0.250 0.359 0.032
Ge 0.750 0.478 0.727
Ge 0.250 0.732 0.544
Ge 0.750 0.022 0.227
Ge 0.250 0.522 0.273
Ge 0.750 0.232 0.956
Ge 0.250 0.978 0.773
Ge 0.750 0.268 0.456
Ge 0.250 0.768 0.044
Zr 0.750 0.516 0.136
Zr 0.750 0.984 0.636
Zr 0.250 0.016 0.364
Zr 0.250 0.484 0.864

Results
- Crystal system: orthorhombic
- DFT formation energy: -0.649 eV/atom


Below is crystalline V2SiH at its relaxed geometry, with properties calculated at the PBE-GGA level.

Unit cell a=4.731 b=4.731 c=5.543 alpha=64.74 beta=64.74 gamma=90.00
Fractional positions:
V 0.375 0.125 0.250
V 0.875 0.625 0.750
V 0.375 0.625 0.250
V 0.375 0.625 0.750
H 0.500 0.500 0.000
H 0.250 0.750 0.500
Si 0.750 0.250 0.500
Si 0.000 0.000 0.000

Results
- Crystal system: tetragonal
- E above lowest polymorph: 531 meV/atom


Below is crystalline Pr2Cu3Ni12Pt at its relaxed geometry, with properties calculated at the PBE-GGA level.

Unit cell a=12.221 b=12.221 c=12.221 alpha=23.95 beta=23.95 gamma=23.95
Fractional positions:
Ni 0.129 0.605 0.605
Ni 0.605 0.605 0.129
Ni 0.100 0.100 0.615
Ni 0.605 0.129 0.605
Ni 0.900 0.385 0.900
Ni 0.395 0.395 0.871
Ni 0.385 0.900 0.900
Ni 0.615 0.100 0.100
Ni 0.871 0.395 0.395
Ni 0.100 0.615 0.100
Ni 0.395 0.871 0.395
Ni 0.900 0.900 0.385
Pr 0.640 0.640 0.640
Pr 0.360 0.360 0.360
Cu 0.500 0.000 0.000
Cu 0.000 0.000 0.500
Cu 0.000 0.500 0.000
Pt 0.000 0.000 0.000

Results
- Crystal system: trigonal
- DFT formation energy: 0.120 eV/atom


Below is crystalline Ac2GdAg at its relaxed geometry, with properties calculated at the PBE-GGA level.

Unit cell a=5.784 b=5.784 c=5.784 alpha=60.00 beta=60.00 gamma=60.00
Fractional positions:
Ag 0.500 0.500 0.500
Ac 0.250 0.250 0.250
Ac 0.750 0.750 0.750
Gd 0.000 0.000 0.000

Results
- Crystal system: cubic
- E above lowest polymorph: 166 meV/atom
- DFT formation energy: 0.073 eV/atom


Below is crystalline BaSnHgAu2 at its relaxed geometry, with properties calculated at the PBE-GGA level.

Unit cell a=5.383 b=5.383 c=5.502 alpha=90.00 beta=90.00 gamma=90.00
Fractional positions:
Sn 0.000 0.000 0.000
Hg 0.000 0.000 0.500
Au 0.500 0.000 0.000
Au 0.000 0.500 0.000
Ba 0.500 0.500 0.500

Results
- Crystal system: tetragonal
- E above lowest polymorph: 211 meV/atom
- DFT formation energy: -0.290 eV/atom


Below is crystalline Ho2ScPb at its relaxed geometry, with properties calculated at the PBE-GGA level.

Unit cell a=3.461 b=3.461 c=11.834 alpha=81.59 beta=81.59 gamma=60.00
Fractional positions:
Ho 0.091 0.091 0.728
Ho 0.909 0.909 0.272
Pb 0.000 0.000 0.000
Sc 0.500 0.500 0.500

Results
- Crystal system: trigonal
- E above lowest polymorph: 312 meV/atom
- DFT formation energy: 0.058 eV/atom


Below is crystalline LiPmOs4 at its relaxed geometry, with properties calculated at the PBE-GGA level.

Unit cell a=5.299 b=5.299 c=5.299 alpha=60.00 beta=60.00 gamma=60.00
Fractional positions:
Os 0.626 0.626 0.626
Os 0.626 0.626 0.123
Os 0.123 0.626 0.626
Os 0.626 0.123 0.626
Pm 0.250 0.250 0.250
Li 0.000 0.000 0.000

Results
- Crystal system: cubic
- DFT formation energy: 0.164 eV/atom


Below is crystalline RbGa2NiHg at its relaxed geometry, with properties calculated at the PBE-GGA level.

Unit cell a=4.769 b=4.769 c=5.291 alpha=90.00 beta=90.00 gamma=90.00
Fractional positions:
Rb 0.500 0.500 0.500
Ni 0.000 0.000 0.000
Ga 0.500 0.000 0.000
Ga 0.000 0.500 0.000
Hg 0.000 0.000 0.500

Results
- Crystal system: tetragonal
- DFT formation energy: -0.088 eV/atom


Below is crystalline Cu2Ni2Au at its relaxed geometry, with properties calculated at the PBE-GGA level.

Unit cell a=3.363 b=3.363 c=6.508 alpha=75.03 beta=75.03 gamma=90.00
Fractional positions:
Au 0.000 0.000 0.000
Cu 0.603 0.603 0.795
Cu 0.397 0.397 0.205
Ni 0.250 0.750 0.500
Ni 0.750 0.250 0.500

Results
- Crystal system: tetragonal
- E above lowest polymorph: 130 meV/atom
- DFT formation energy: 0.278 eV/atom


Below is crystalline LiNpPa2S4 at its relaxed geometry, with properties calculated at the PBE-GGA level.

Unit cell a=3.838 b=6.709 c=6.694 alpha=70.64 beta=90.00 gamma=90.00
Fractional positions:
Np 0.000 0.500 0.500
S 0.500 0.259 0.756
S 0.000 0.739 0.763
S 0.000 0.261 0.237
S 0.500 0.741 0.244
Li 0.500 0.500 0.000
Pa 0.500 0.000 0.500
Pa 0.000 0.000 0.000

Results
- Crystal system: monoclinic
- Formation energy without anion corrections: -1481 meV per atom